# Dy2Tc3Mo (PBE-GGA, optimized geometry)
# Formation enthalpy at 0 K   -0.11 eV/atom
# M_tot   0.0 μB per cell
# Raw total energy   -155.4 eV for the cell shown
data_Dy2Tc3Mo
_chemical_formula_sum 'Dy6 Tc9 Mo3'
_cell_length_a 5.4765
_cell_length_b 5.4765
_cell_length_c 13.1101
_cell_angle_alpha 90.00
_cell_angle_beta 90.00
_cell_angle_gamma 120.00
_symmetry_space_group_name_H-M 'R -3 m'
_symmetry_Int_Tables_number 166
_symmetry_space_group_name_Hall '-R 3 2"'
loop_
_atom_site_label
_atom_site_fract_x
_atom_site_fract_y
_atom_site_fract_z
Dy1 0.0000 0.0000 0.1247
Tc1 0.0000 0.5000 0.0000
Mo1 0.0000 0.0000 0.5000

***

# RbTeO (PBE-GGA, optimized geometry)
# Formation energy from raw total energies   -260 kJ/mol of formula units
# M_tot   0.0 μB per cell
# Raw total energy   -47.0 eV for the cell shown
data_RbTeO
_chemical_formula_sum 'Rb4 Te4 O4'
_cell_length_a 11.2965
_cell_length_b 5.4184
_cell_length_c 9.0481
_cell_angle_alpha 90.00
_cell_angle_beta 121.68
_cell_angle_gamma 90.00
_symmetry_space_group_name_H-M 'C 1 2/m 1'
_symmetry_Int_Tables_number 12
loop_
_symmetry_equiv_pos_as_xyz
'x,y,z'
'-x,-y,-z'
'-x,y,-z'
'x,-y,z'
'x+1/2,y+1/2,z'
'-x+1/2,-y+1/2,-z'
'-x+1/2,y+1/2,-z'
'x+1/2,-y+1/2,z'
loop_
_atom_site_label
_atom_site_fract_x
_atom_site_fract_y
_atom_site_fract_z
Rb1 0.2078 0.0000 0.3078
Te1 0.0464 0.5000 0.8779
O1 0.1331 0.5000 0.3367

***

# BeSbTe2Pb (PBE-GGA, optimized geometry)
# Formation energy from raw total energies   595 kJ/mol of formula units
# ΔE to the lowest computed polymorph   5.12 eV/f.u.
# M_tot   0.9 μB per cell
# Raw total energy   -11.7 eV for the cell shown
data_BeSbTe2Pb
_chemical_formula_sum 'Be1 Sb1 Te2 Pb1'
_cell_length_a 5.8508
_cell_length_b 5.8508
_cell_length_c 5.8901
_cell_angle_alpha 90.00
_cell_angle_beta 90.00
_cell_angle_gamma 90.00
_symmetry_space_group_name_H-M 'P 4/m m m'
_symmetry_Int_Tables_number 123
_symmetry_space_group_name_Hall '-P 4 2'
loop_
_atom_site_label
_atom_site_fract_x
_atom_site_fract_y
_atom_site_fract_z
Be1 0.0000 0.0000 0.0000
Sb1 0.5000 0.5000 0.0000
Te1 0.0000 0.5000 0.5000
Pb1 0.5000 0.5000 0.5000

***

# KCr2As (PBE-GGA, optimized geometry)
# Formation enthalpy at 0 K   0.54 eV/atom
# M_tot   0.0 μB per cell
# Raw total energy   -45.6 eV for the cell shown
data_KCr2As
_chemical_formula_sum 'K2 Cr4 As2'
_cell_length_a 9.0256
_cell_length_b 3.0633
_cell_length_c 6.3447
_cell_angle_alpha 90.00
_cell_angle_beta 96.77
_cell_angle_gamma 90.00
_symmetry_space_group_name_H-M 'C 1 2/m 1'
_symmetry_Int_Tables_number 12
loop_
_symmetry_equiv_pos_as_xyz
'x,y,z'
'-x,-y,-z'
'-x,y,-z'
'x,-y,z'
'x+1/2,y+1/2,z'
'-x+1/2,-y+1/2,-z'
'-x+1/2,y+1/2,-z'
'x+1/2,-y+1/2,z'
loop_
_atom_site_label
_atom_site_fract_x
_atom_site_fract_y
_atom_site_fract_z
K1 0.0000 0.0000 0.0000
Cr1 0.2256 0.0000 0.6049
As1 0.0000 0.5000 0.5000

***

# LiTl2Pt2 (PBE-GGA, optimized geometry)
# Formation enthalpy at 0 K   -0.01 eV/atom
# ΔE to the lowest computed polymorph   0.89 eV/f.u.
# M_tot   0.0 μB per cell
# Raw total energy   -37.6 eV for the cell shown
data_LiTl2Pt2
_chemical_formula_sum 'Li2 Tl4 Pt4'
_cell_length_a 4.6394
_cell_length_b 4.6394
_cell_length_c 11.2133
_cell_angle_alpha 90.00
_cell_angle_beta 90.00
_cell_angle_gamma 90.00
_symmetry_space_group_name_H-M 'I 4/m m m'
_symmetry_Int_Tables_number 139
_symmetry_space_group_name_Hall '-I 4 2'
loop_
_atom_site_label
_atom_site_fract_x
_atom_site_fract_y
_atom_site_fract_z
Li1 0.0000 0.0000 0.0000
Tl1 0.0000 0.5000 0.2500
Pt1 0.0000 0.0000 0.3868

***

# TbPb4S5 (PBE-GGA, optimized geometry)
# Formation energy from raw total energies   -787 kJ/mol of formula units
# M_tot   0.0 μB per cell
# Raw total energy   -96.5 eV for the cell shown
data_TbPb4S5
_chemical_formula_sum 'Tb2 Pb8 S10'
_cell_length_a 9.4710
_cell_length_b 9.4710
_cell_length_c 5.9308
_cell_angle_alpha 90.00
_cell_angle_beta 90.00
_cell_angle_gamma 90.00
_symmetry_space_group_name_H-M 'I 4'
_symmetry_Int_Tables_number 79
loop_
_symmetry_equiv_pos_as_xyz
'x,y,z'
'-y,x,z'
'-x,-y,z'
'y,-x,z'
'x+1/2,y+1/2,z+1/2'
'-y+1/2,x+1/2,z+1/2'
'-x+1/2,-y+1/2,z+1/2'
'y+1/2,-x+1/2,z+1/2'
loop_
_atom_site_label
_atom_site_fract_x
_atom_site_fract_y
_atom_site_fract_z
Tb1 0.0000 0.0000 0.0000
Pb1 0.1033 0.3021 0.5031
S1 0.0000 0.0000 0.5037
S2 0.0989 0.2745 0.0030

***

# HfTeP (PBE-GGA, optimized geometry)
# Formation energy from raw total energies   -189 kJ/mol of formula units
# M_tot   0.0 μB per cell
# Raw total energy   -81.9 eV for the cell shown
data_HfTeP
_chemical_formula_sum 'Hf4 Te4 P4'
_cell_length_a 7.4765
_cell_length_b 6.8726
_cell_length_c 6.9851
_cell_angle_alpha 90.00
_cell_angle_beta 112.67
_cell_angle_gamma 90.00
_symmetry_space_group_name_H-M 'P 1 21/c 1'
_symmetry_Int_Tables_number 14
loop_
_symmetry_equiv_pos_as_xyz
'x,y,z'
'-x,-y,-z'
'-x,y+1/2,-z+1/2'
'x,-y+1/2,z+1/2'
loop_
_atom_site_label
_atom_site_fract_x
_atom_site_fract_y
_atom_site_fract_z
Hf1 0.0444 0.2037 0.3164
Te1 0.2935 0.0452 0.6936
P1 0.1542 0.5486 0.5760

***

# ScBeRe2 (PBE-GGA, optimized geometry)
# Formation enthalpy at 0 K   0.03 eV/atom
# M_tot   0.0 μB per cell
# Raw total energy   -34.8 eV for the cell shown
data_ScBeRe2
_chemical_formula_sum 'Sc1 Be1 Re2'
_cell_length_a 2.9308
_cell_length_b 4.2246
_cell_length_c 5.0119
_cell_angle_alpha 90.00
_cell_angle_beta 102.15
_cell_angle_gamma 90.00
_symmetry_space_group_name_H-M 'P 1 m 1'
_symmetry_Int_Tables_number 6
loop_
_symmetry_equiv_pos_as_xyz
'x,y,z'
'x,-y,z'
loop_
_atom_site_label
_atom_site_fract_x
_atom_site_fract_y
_atom_site_fract_z
Sc1 0.0000 0.0000 0.0000
Be1 0.5746 0.5000 0.2005
Re1 0.2749 0.5000 0.6513
Re2 0.6191 0.0000 0.4840